# Li4MnNi3P4O16 | the Alexandria database | PBE with a Hubbard U | relaxed
# Calculated total energy in eV/atom: -6.50
# Total magnetization in μB/atom: 0.393
# Calculated volume in Å³/cell: 291
data_Li4MnNi3P4O16
_symmetry_space_group_name_H-M 'P 1 m 1'
_symmetry_Int_Tables_number 6
_cell_length_a 4.7438
_cell_length_b 5.9820
_cell_length_c 10.2684
_cell_angle_alpha 90.00
_cell_angle_beta 90.01
_cell_angle_gamma 90.00
loop_
_symmetry_equiv_pos_as_xyz
'x,y,z'
'x,-y,z'
loop_
_atom_site_label
_atom_site_type_symbol
_atom_site_fract_x
_atom_site_fract_y
_atom_site_fract_z
Li1 Li 0.0000 0.2493 0.0000
Li2 Li 0.4962 0.2504 0.5085
Mn1 Mn 0.5162 0.5000 0.2270
Ni1 Ni 0.0144 0.0000 0.2830
Ni2 Ni 0.4822 0.0000 0.7785
Ni3 Ni 0.9787 0.5000 0.7274
P1 P 0.0767 0.5000 0.4172
P2 P 0.4142 0.5000 0.9045
P3 P 0.5866 0.0000 0.0972
P4 P 0.9155 0.0000 0.5990
O1 O 0.2023 0.5000 0.5572
O2 O 0.2111 0.2928 0.3458
O3 O 0.2393 0.0000 0.6044
O4 O 0.2631 0.0000 0.1065
O5 O 0.2760 0.2931 0.8344
O6 O 0.2930 0.5000 0.0448
O7 O 0.6979 0.0000 0.9548
O8 O 0.7306 0.2036 0.1675
O9 O 0.7384 0.5000 0.9012
O10 O 0.7538 0.5000 0.4147
O11 O 0.7756 0.2055 0.6703
O12 O 0.7954 0.0000 0.4580